1.
Material: Si3BF
Method: DFT, meta-GGA SCAN
State: PBEsol geometry

* raw formation energy: 1416.6 meV per atom
* space-group type: Pm-3m

abc: 4.276 4.276 4.276
angles: 90.00 90.00 90.00
Element x y z (fractional)
1 Si 0.000 0.000 0.500
2 Si 0.000 0.500 0.000
3 Si 0.500 0.000 0.000
4 B 0.500 0.500 0.500
5 F 0.000 0.000 0.000



2.
Material: OsBr2Cl
Method: DFT, meta-GGA SCAN
State: PBEsol geometry

* raw formation energy: 321.6 meV per atom
* space-group type: R-3m
* E above lowest polymorph: 326 meV per atom

abc: 7.325 7.325 7.325
angles: 29.22 29.22 29.22
Element x y z (fractional)
1 Os 0.000 0.000 0.000
2 Br 0.271 0.271 0.271
3 Br 0.729 0.729 0.729
4 Cl 0.500 0.500 0.500



3.
Material: CaMg2Au
Method: DFT, meta-GGA SCAN
State: PBEsol geometry

* space-group type: C2
* E_form: -0.456 eV/atom

abc: 4.968 4.968 4.966
angles: 119.61 119.61 90.60
Element x y z (fractional)
1 Ca 0.000 0.000 0.000
2 Mg 0.500 0.500 0.000
3 Mg 0.750 0.250 0.500
4 Au 0.250 0.750 0.500



4.
Material: Fe3SBr
Method: DFT, meta-GGA SCAN
State: PBEsol geometry

* raw formation energy: 1148.9 meV per atom
* space-group type: Pm-3m
* E above lowest polymorph: 777 meV per atom

abc: 4.424 4.424 4.424
angles: 90.00 90.00 90.00
Element x y z (fractional)
1 Fe 0.000 0.000 0.500
2 Fe 0.000 0.500 0.000
3 Fe 0.500 0.000 0.000
4 S 0.500 0.500 0.500
5 Br 0.000 0.000 0.000



5.
Material: CsSn2IrBr
Method: DFT, meta-GGA SCAN
State: PBEsol geometry

* raw formation energy: -444.5 meV per atom
* space-group type: P4/mmm

abc: 4.993 4.993 6.962
angles: 90.00 90.00 90.00
Element x y z (fractional)
1 Cs 0.000 0.000 0.000
2 Sn 0.000 0.500 0.500
3 Sn 0.500 0.000 0.500
4 Ir 0.000 0.000 0.500
5 Br 0.500 0.500 0.000



6.
Material: CuPt7
Method: DFT, meta-GGA SCAN
State: PBEsol geometry

* space-group type: Fm-3m
* E_form: -0.065 eV/atom

abc: 5.488 5.488 5.488
angles: 60.00 60.00 60.00
Element x y z (fractional)
1 Cu 0.000 0.000 0.000
2 Pt 0.000 0.000 0.500
3 Pt 0.000 0.500 0.000
4 Pt 0.000 0.500 0.500
5 Pt 0.500 0.000 0.000
6 Pt 0.500 0.000 0.500
7 Pt 0.500 0.500 0.000
8 Pt 0.500 0.500 0.500



7.
Material: Mo2AsRh
Method: DFT, meta-GGA SCAN
State: PBEsol geometry

* space-group type: C2/m
* E_form: 0.008 eV/atom

abc: 4.853 4.853 4.363
angles: 99.50 99.50 35.67
Element x y z (fractional)
1 Mo 0.246 0.246 0.242
2 Mo 0.754 0.754 0.758
3 As 0.000 0.000 0.500
4 Rh 0.500 0.500 0.000



8.
Material: Nd2HfS5
Method: DFT, meta-GGA SCAN
State: PBEsol geometry

* raw formation energy: -2172.6 meV per atom
* space-group type: Pnma

abc: 11.320 7.959 7.249
angles: 90.00 90.00 90.00
Element x y z (fractional)
1 Nd 0.174 0.001 0.048
2 Nd 0.174 0.499 0.048
3 Nd 0.326 0.501 0.548
4 Nd 0.326 0.999 0.548
5 Nd 0.674 0.001 0.452
6 Nd 0.674 0.499 0.452
7 Nd 0.826 0.501 0.952
8 Nd 0.826 0.999 0.952
9 Hf 0.009 0.750 0.574
10 Hf 0.491 0.250 0.074
11 Hf 0.509 0.750 0.926
12 Hf 0.991 0.250 0.426
13 S 0.005 0.750 0.943
14 S 0.079 0.037 0.673
15 S 0.079 0.463 0.673
16 S 0.188 0.750 0.351
17 S 0.208 0.250 0.331
18 S 0.292 0.750 0.831
19 S 0.312 0.250 0.851
20 S 0.421 0.537 0.173
21 S 0.421 0.963 0.173
22 S 0.495 0.250 0.443
23 S 0.505 0.750 0.557
24 S 0.579 0.037 0.827
25 S 0.579 0.463 0.827
26 S 0.688 0.750 0.149
27 S 0.708 0.250 0.169
28 S 0.792 0.750 0.669
29 S 0.812 0.250 0.649
30 S 0.921 0.537 0.327
31 S 0.921 0.963 0.327
32 S 0.995 0.250 0.057



9.
Material: Ga2NiO4
Method: DFT, meta-GGA SCAN
State: PBEsol geometry

* raw formation energy: -1707.8 meV per atom
* space-group type: Fd-3m
* E above lowest polymorph: 184 meV per atom

abc: 5.879 5.879 5.879
angles: 60.00 60.00 60.00
Element x y z (fractional)
1 Ga 0.000 0.000 0.000
2 Ga 0.000 0.000 0.500
3 Ga 0.000 0.500 0.000
4 Ga 0.500 0.000 0.000
5 Ni 0.375 0.375 0.375
6 Ni 0.625 0.625 0.625
7 O 0.218 0.761 0.761
8 O 0.239 0.239 0.239
9 O 0.239 0.239 0.782
10 O 0.239 0.782 0.239
11 O 0.761 0.218 0.761
12 O 0.761 0.761 0.218
13 O 0.761 0.761 0.761
14 O 0.782 0.239 0.239



10.
Material: ReCF3
Method: DFT, meta-GGA SCAN
State: PBEsol geometry

* raw formation energy: 301.0 meV per atom
* space-group type: Pm-3m

abc: 3.996 3.996 3.996
angles: 90.00 90.00 90.00
Element x y z (fractional)
1 Re 0.000 0.000 0.000
2 C 0.500 0.500 0.500
3 F 0.000 0.000 0.500
4 F 0.000 0.500 0.000
5 F 0.500 0.000 0.000



11.
Material: CsY2Tc
Method: DFT, meta-GGA SCAN
State: PBEsol geometry

* space-group type: Fm-3m
* E_form: 0.902 eV/atom

abc: 5.228 5.228 5.228
angles: 60.00 60.00 60.00
Element x y z (fractional)
1 Cs 0.000 0.000 0.000
2 Y 0.250 0.250 0.250
3 Y 0.750 0.750 0.750
4 Tc 0.500 0.500 0.500



12.
Material: CrTcBr2
Method: DFT, meta-GGA SCAN
State: PBEsol geometry

* raw formation energy: 743.8 meV per atom
* space-group type: R-3m
* E above lowest polymorph: 621 meV per atom

abc: 8.114 8.114 8.114
angles: 21.81 21.81 21.81
Element x y z (fractional)
1 Cr 0.000 0.000 0.000
2 Tc 0.500 0.500 0.500
3 Br 0.253 0.253 0.253
4 Br 0.747 0.747 0.747



13.
Material: TiGaTeI2
Method: DFT, meta-GGA SCAN
State: PBEsol geometry

* raw formation energy: -262.7 meV per atom
* space-group type: P4/mmm

abc: 5.539 5.539 5.303
angles: 90.00 90.00 90.00
Element x y z (fractional)
1 Ti 0.000 0.000 0.000
2 Ga 0.500 0.500 0.500
3 Te 0.000 0.000 0.500
4 I 0.000 0.500 0.000
5 I 0.500 0.000 0.000



14.
Material: CaY2Al2
Method: DFT, meta-GGA SCAN
State: PBEsol geometry

* space-group type: I4/mmm
* E_form: 0.166 eV/atom
* E above lowest polymorph: 491 meV per atom

abc: 7.726 7.726 7.726
angles: 146.01 146.01 48.83
Element x y z (fractional)
1 Ca 0.000 0.000 0.000
2 Y 0.383 0.383 0.000
3 Y 0.617 0.617 0.000
4 Al 0.250 0.750 0.500
5 Al 0.750 0.250 0.500



15.
Material: Cr2OsRu
Method: DFT, meta-GGA SCAN
State: PBEsol geometry

* space-group type: Immm
* E_form: 0.284 eV/atom
* E above lowest polymorph: 169 meV per atom

abc: 4.872 4.872 4.872
angles: 145.68 127.68 64.08
Element x y z (fractional)
1 Cr 0.245 0.245 0.000
2 Cr 0.755 0.755 0.000
3 Os 0.000 0.500 0.500
4 Ru 0.500 0.000 0.500



16.
Material: TaCr2CuBr
Method: DFT, meta-GGA SCAN
State: PBEsol geometry

* raw formation energy: 1417.6 meV per atom
* space-group type: P4/mmm

abc: 4.745 4.745 4.745
angles: 90.00 90.00 90.00
Element x y z (fractional)
1 Ta 0.000 0.000 0.000
2 Cr 0.000 0.500 0.000
3 Cr 0.500 0.000 0.000
4 Cu 0.000 0.000 0.500
5 Br 0.500 0.500 0.500



17.
Material: CrCoPt
Method: DFT, meta-GGA SCAN
State: PBEsol geometry

* space-group type: P3m1
* E_form: 0.103 eV/atom

abc: 2.607 2.607 6.252
angles: 90.00 90.00 120.00
Element x y z (fractional)
1 Cr 0.000 0.000 0.000
2 Co 0.667 0.333 0.297
3 Pt 0.333 0.667 0.650



18.
Material: Hf2PtC2
Method: DFT, meta-GGA SCAN
State: PBEsol geometry

* space-group type: I4/mmm
* E_form: 0.018 eV/atom

abc: 4.729 4.729 4.729
angles: 125.64 125.64 80.48
Element x y z (fractional)
1 Hf 0.250 0.750 0.500
2 Hf 0.750 0.250 0.500
3 Pt 0.000 0.000 0.000
4 C 0.398 0.398 0.000
5 C 0.602 0.602 0.000



19.
Material: Mn4ReCl
Method: DFT, meta-GGA SCAN
State: PBEsol geometry

* raw formation energy: 815.1 meV per atom
* space-group type: F-43m

abc: 4.717 4.717 4.717
angles: 60.00 60.00 60.00
Element x y z (fractional)
1 Mn 0.125 0.125 0.125
2 Mn 0.125 0.125 0.625
3 Mn 0.125 0.625 0.125
4 Mn 0.625 0.125 0.125
5 Re 0.500 0.500 0.500
6 Cl 0.750 0.750 0.750



20.
Material: Ga4Hg11P4Cl16
Method: DFT, meta-GGA SCAN
State: PBEsol geometry

* raw formation energy: -788.2 meV per atom
* space-group type: C2/m

abc: 7.416 7.416 22.058
angles: 96.62 96.62 59.11
Element x y z (fractional)
1 Ga 0.121 0.121 0.380
2 Ga 0.264 0.264 0.884
3 Ga 0.736 0.736 0.116
4 Ga 0.879 0.879 0.620
5 Hg 0.025 0.025 0.059
6 Hg 0.245 0.746 0.780
7 Hg 0.254 0.755 0.220
8 Hg 0.255 0.255 0.217
9 Hg 0.463 0.463 0.380
10 Hg 0.500 0.500 0.500
11 Hg 0.537 0.537 0.620
12 Hg 0.745 0.745 0.783
13 Hg 0.746 0.245 0.780
14 Hg 0.755 0.254 0.220
15 Hg 0.975 0.975 0.941
16 P 0.077 0.077 0.170
17 P 0.430 0.430 0.267
18 P 0.570 0.570 0.733
19 P 0.923 0.923 0.830
20 Cl 0.046 0.046 0.658
21 Cl 0.051 0.570 0.660
22 Cl 0.060 0.571 0.089
23 Cl 0.144 0.144 0.478
24 Cl 0.249 0.249 0.784
25 Cl 0.429 0.940 0.911
26 Cl 0.430 0.430 0.919
27 Cl 0.430 0.949 0.340
28 Cl 0.570 0.051 0.660
29 Cl 0.570 0.570 0.081
30 Cl 0.571 0.060 0.089
31 Cl 0.751 0.751 0.216
32 Cl 0.856 0.856 0.522
33 Cl 0.940 0.429 0.911
34 Cl 0.949 0.430 0.340
35 Cl 0.954 0.954 0.342



no.,ρ (Mg/m³)
1,2.4
2,7.7
3,5.4
4,5.4
5,6.1
6,20.3
7,10.4
8,6.4
9,6.1
10,6.6
11,6.7
12,8.0
13,5.1
14,3.1
15,12.9
16,6.7
17,13.8
18,14.2
19,9.9
20,5.1